Compound: LiTbTmMn
Source: Alexandria via LeMat-Bulk
Functional: PBE
Structure: optimized geometry

## Properties
- raw total energy (eV/cell) = -19.73
- formation energy (meV/atom) = 114

The structure in POSCAR format:
```
LiTbTmMn
1.0
-2.577 0.400 -4.258
1.078 -2.979 -3.859
-3.186 -3.604 -1.338
Li Mn Tm Tb
1 1 1 1
direct
0.750 0.750 0.750
0.250 0.250 0.250
0.000 0.000 0.000
0.500 0.500 0.500
```